1.
## LaPu3C (PBE)

Data for an optimized crystal structure of LaPu3C. Values from VASP.

Calculated values
- DFT formation energy: 0.218 eV per atom
- Space-group type: Pm-3m, No. 221
- E: -11.211 eV/atom

Geometry as Quantum ESPRESSO input:
```
&SYSTEM
  ibrav = 0, nat = 5, ntyp = 3
/
ATOMIC_SPECIES
La 138.91 La.upf
Pu 244.00 Pu.upf
C 12.01 C.upf
CELL_PARAMETERS angstrom
4.9622 0.0000 0.0000
0.0000 4.9622 0.0000
0.0000 0.0000 4.9622
ATOMIC_POSITIONS angstrom
La 0.0000 0.0000 0.0000
Pu 0.0000 2.4811 2.4811
Pu 2.4811 0.0000 2.4811
Pu 2.4811 2.4811 0.0000
C 2.4811 2.4811 2.4811
```



2.
## YRuPb (PBE)

Data for an optimized crystal structure of YRuPb. Values from VASP.

Calculated values
- DFT formation energy: -0.123 eV per atom
- Space-group type: F-43m, No. 216
- E: -6.605 eV/atom

Geometry as Quantum ESPRESSO input:
```
&SYSTEM
  ibrav = 0, nat = 3, ntyp = 3
/
ATOMIC_SPECIES
Y 88.91 Y.upf
Ru 101.07 Ru.upf
Pb 207.20 Pb.upf
CELL_PARAMETERS angstrom
0.0000 3.3324 3.3324
3.3324 0.0000 3.3324
3.3324 3.3324 0.0000
ATOMIC_POSITIONS angstrom
Y 0.0000 0.0000 0.0000
Ru 4.9986 4.9986 4.9986
Pb 3.3324 3.3324 3.3324
```



3.
## La3HI (PBE)

Data for an optimized crystal structure of La3HI. Values from VASP.

Calculated values
- E above lowest polymorph: 0.0 meV per atom
- Space-group type: Pm-3m, No. 221
- E: -4.313 eV/atom

Geometry as Quantum ESPRESSO input:
```
&SYSTEM
  ibrav = 0, nat = 5, ntyp = 3
/
ATOMIC_SPECIES
La 138.91 La.upf
H 1.01 H.upf
I 126.90 I.upf
CELL_PARAMETERS angstrom
5.0645 0.0000 0.0000
0.0000 5.0645 0.0000
0.0000 0.0000 5.0645
ATOMIC_POSITIONS angstrom
La 0.0000 0.0000 2.5323
La 0.0000 2.5323 0.0000
La 2.5323 0.0000 0.0000
H 0.0000 0.0000 0.0000
I 2.5323 2.5323 2.5323
```



4.
## Pm7PrDy12 (PBE)

Data for an optimized crystal structure of Pm7PrDy12. Values from VASP.

Calculated values
- DFT formation energy: 0.282 eV per atom
- E above lowest polymorph: 0.0 meV per atom
- Space-group type: R-3, No. 148
- E: -4.381 eV/atom

Geometry as Quantum ESPRESSO input:
```
&SYSTEM
  ibrav = 0, nat = 20, ntyp = 3
/
ATOMIC_SPECIES
Pm 145.00 Pm.upf
Pr 140.91 Pr.upf
Dy 162.50 Dy.upf
CELL_PARAMETERS angstrom
6.4607 3.7301 4.5959
-6.4607 3.7301 4.5959
0.0000 -7.4601 4.5959
ATOMIC_POSITIONS angstrom
Pm 0.0000 0.0000 0.0000
Pm -1.7439 -1.5052 4.7723
Pm -0.4316 2.2629 4.7723
Pm 2.1755 -0.7577 4.7723
Pm -2.1755 0.7577 9.0154
Pm 0.4316 -2.2629 9.0154
Pm 1.7439 1.5052 9.0154
Pr 0.0000 0.0000 6.8938
Dy -0.4257 -2.2513 2.0872
Dy -1.7369 1.4943 2.0872
Dy -3.6820 1.1367 5.7339
Dy -2.8254 -2.6203 8.0538
Dy 0.8566 -3.7570 5.7339
Dy 2.1625 0.7570 2.0872
Dy -2.1625 -0.7570 11.7005
Dy -0.8566 3.7570 8.0538
Dy 2.8254 2.6203 5.7339
Dy 3.6820 -1.1367 8.0538
Dy 1.7369 -1.4943 11.7005
Dy 0.4257 2.2513 11.7005
```



5.
## Pm4Se5S (PBE)

Data for an optimized crystal structure of Pm4Se5S. Values from VASP.

Calculated values
- Space-group type: C2/m, No. 12
- E: -5.878 eV/atom
- Formation energy without anion corrections: -1.82 eV per atom

Geometry as Quantum ESPRESSO input:
```
&SYSTEM
  ibrav = 0, nat = 10, ntyp = 3
/
ATOMIC_SPECIES
Pm 145.00 Pm.upf
Se 78.96 Se.upf
S 32.06 S.upf
CELL_PARAMETERS angstrom
9.2159 -2.1024 0.0000
9.2159 2.1024 0.0000
-2.4411 0.0000 7.9834
ATOMIC_POSITIONS angstrom
Pm -0.5645 0.0000 2.0395
Pm 3.7586 0.0000 6.9773
Pm 12.2321 0.0000 1.0062
Pm 16.5552 0.0000 5.9440
Se 2.1548 0.0000 2.7443
Se 0.8714 0.0000 6.9013
Se 7.9954 0.0000 3.9917
Se 15.1194 0.0000 1.0821
Se 13.8360 0.0000 5.2391
S 9.2159 0.0000 0.0000
```



6.
## Hf4ZrC4 (PBE)

Data for an optimized crystal structure of Hf4ZrC4. Values from VASP.

Calculated values
- DFT formation energy: -0.857 eV per atom
- Space-group type: I4/m, No. 87
- E: -10.330 eV/atom

Geometry as Quantum ESPRESSO input:
```
&SYSTEM
  ibrav = 0, nat = 9, ntyp = 3
/
ATOMIC_SPECIES
Hf 178.49 Hf.upf
Zr 91.22 Zr.upf
C 12.01 C.upf
CELL_PARAMETERS angstrom
-3.7067 3.7067 2.3152
3.7067 -3.7067 2.3152
3.7067 3.7067 -2.3152
ATOMIC_POSITIONS angstrom
Hf 2.3168 0.8162 0.0000
Hf 2.8906 -1.3900 2.3152
Hf 0.8162 5.0967 0.0000
Hf 1.3900 2.8906 2.3152
Zr 0.0000 0.0000 2.3152
C 4.4447 1.4820 0.0000
C 1.4820 2.9688 0.0000
C 2.2247 0.7380 2.3152
C -0.7380 2.2247 2.3152
```



7.
## La4Nd15Mg (PBE)

Data for an optimized crystal structure of La4Nd15Mg. Values from VASP.

Calculated values
- DFT formation energy: 0.013 eV per atom
- Space-group type: P4/mmm, No. 123
- E: -4.628 eV/atom

Geometry as Quantum ESPRESSO input:
```
&SYSTEM
  ibrav = 0, nat = 20, ntyp = 3
/
ATOMIC_SPECIES
La 138.91 La.upf
Nd 144.24 Nd.upf
Mg 24.30 Mg.upf
CELL_PARAMETERS angstrom
5.1971 0.0000 0.0000
0.0000 5.1971 0.0000
0.0000 0.0000 25.9572
ATOMIC_POSITIONS angstrom
La 0.0000 0.0000 2.6301
La 0.0000 0.0000 7.8883
La 0.0000 0.0000 18.0689
La 0.0000 0.0000 23.3270
Nd 0.0000 2.5985 0.0000
Nd 0.0000 2.5985 5.2546
Nd 0.0000 2.5985 10.4883
Nd 0.0000 2.5985 15.4688
Nd 0.0000 2.5985 20.7026
Nd 2.5985 0.0000 0.0000
Nd 2.5985 0.0000 5.2546
Nd 2.5985 0.0000 10.4883
Nd 2.5985 0.0000 15.4688
Nd 2.5985 0.0000 20.7026
Nd 2.5985 2.5985 2.6410
Nd 2.5985 2.5985 7.9246
Nd 2.5985 2.5985 12.9786
Nd 2.5985 2.5985 18.0325
Nd 2.5985 2.5985 23.3162
Mg 0.0000 0.0000 12.9786
```



8.
## ErTi2In (PBE)

Data for an optimized crystal structure of ErTi2In. Values from VASP.

Calculated values
- DFT formation energy: 0.081 eV per atom
- E above lowest polymorph: 113.5 meV per atom
- Space-group type: Fm-3m, No. 225
- E: -5.691 eV/atom

Geometry as Quantum ESPRESSO input:
```
&SYSTEM
  ibrav = 0, nat = 4, ntyp = 3
/
ATOMIC_SPECIES
Er 167.26 Er.upf
Ti 47.87 Ti.upf
In 114.82 In.upf
CELL_PARAMETERS angstrom
0.0000 3.4531 3.4531
3.4531 0.0000 3.4531
3.4531 3.4531 0.0000
ATOMIC_POSITIONS angstrom
Er 0.0000 0.0000 0.0000
Ti 1.7266 1.7266 1.7266
Ti 5.1797 5.1797 5.1797
In 3.4531 3.4531 3.4531
```



9.
## ZrTlSb3 (PBE)

Data for an optimized crystal structure of ZrTlSb3. Values from VASP.

Calculated values
- E above lowest polymorph: 0.0 meV per atom
- Space-group type: Pm-3m, No. 221
- E: -4.580 eV/atom
- Formation energy without anion corrections: 0.08 eV per atom

Geometry as Quantum ESPRESSO input:
```
&SYSTEM
  ibrav = 0, nat = 5, ntyp = 3
/
ATOMIC_SPECIES
Zr 91.22 Zr.upf
Tl 204.38 Tl.upf
Sb 121.76 Sb.upf
CELL_PARAMETERS angstrom
5.5959 0.0000 0.0000
0.0000 5.5959 0.0000
0.0000 0.0000 5.5959
ATOMIC_POSITIONS angstrom
Zr 0.0000 0.0000 0.0000
Tl 2.7980 2.7980 2.7980
Sb 0.0000 0.0000 2.7980
Sb 0.0000 2.7980 0.0000
Sb 2.7980 0.0000 0.0000
```



10.
## Ce12Tc6Ir (PBE)

Data for an optimized crystal structure of Ce12Tc6Ir. Values from VASP.

Calculated values
- DFT formation energy: -0.031 eV per atom
- Space-group type: R-3, No. 148
- E: -7.519 eV/atom

Geometry as Quantum ESPRESSO input:
```
&SYSTEM
  ibrav = 0, nat = 19, ntyp = 3
/
ATOMIC_SPECIES
Ce 140.12 Ce.upf
Tc 98.00 Tc.upf
Ir 192.22 Ir.upf
CELL_PARAMETERS angstrom
6.2144 3.5879 3.8614
-6.2144 3.5879 3.8614
0.0000 -7.1758 3.8614
ATOMIC_POSITIONS angstrom
Ce -3.8733 -3.8154 6.2383
Ce -5.2409 1.4467 5.3459
Ce -1.2807 -1.9535 4.4800
Ce 1.3676 -5.2621 5.3459
Ce -1.0514 2.0859 4.4800
Ce -2.3322 0.1324 7.1042
Ce 2.3322 -0.1324 4.4800
Ce 1.0514 -2.0859 7.1042
Ce -1.3676 5.2621 6.2383
Ce 1.2807 1.9535 7.1042
Ce 5.2409 -1.4467 6.2383
Ce 3.8734 3.8154 5.3459
Tc -2.8619 0.5700 3.8507
Tc 0.9373 -2.7635 3.8507
Tc -1.9246 -2.1935 7.7335
Tc 1.9246 2.1935 3.8507
Tc -0.9373 2.7635 7.7335
Tc 2.8619 -0.5700 7.7335
Ir 0.0000 0.0000 0.0000
```



11.
## Zn2NiIr (PBE)

Data for an optimized crystal structure of Zn2NiIr. Values from VASP.

Calculated values
- DFT formation energy: -0.220 eV per atom
- Space-group type: P4/mmm, No. 123
- E: -4.517 eV/atom

Geometry as Quantum ESPRESSO input:
```
&SYSTEM
  ibrav = 0, nat = 4, ntyp = 3
/
ATOMIC_SPECIES
Zn 65.41 Zn.upf
Ni 58.69 Ni.upf
Ir 192.22 Ir.upf
CELL_PARAMETERS angstrom
4.1356 0.0000 0.0000
0.0000 4.1356 0.0000
0.0000 0.0000 3.0828
ATOMIC_POSITIONS angstrom
Zn 0.0000 2.0678 0.0000
Zn 2.0678 0.0000 0.0000
Ni 0.0000 0.0000 1.5414
Ir 2.0678 2.0678 1.5414
```



12.
## Ca2HgCl6 (PBE)

Data for an optimized crystal structure of Ca2HgCl6. Values from VASP.

Calculated values
- Space-group type: C2/m, No. 12
- E: -3.479 eV/atom
- Formation energy without anion corrections: -1.77 eV per atom

Geometry as Quantum ESPRESSO input:
```
&SYSTEM
  ibrav = 0, nat = 9, ntyp = 3
/
ATOMIC_SPECIES
Ca 40.08 Ca.upf
Hg 200.59 Hg.upf
Cl 35.45 Cl.upf
CELL_PARAMETERS angstrom
7.0505 -2.0433 0.0000
7.0505 2.0433 0.0000
-3.1656 0.0000 9.7991
ATOMIC_POSITIONS angstrom
Ca 1.2752 0.0000 3.2368
Ca 9.6602 0.0000 6.5623
Hg 7.0505 0.0000 0.0000
Cl 1.7578 0.0000 0.4945
Cl 0.8535 0.0000 5.9730
Cl 4.3838 0.0000 7.1092
Cl 6.5515 0.0000 2.6900
Cl 10.0818 0.0000 3.8261
Cl 9.1775 0.0000 9.3047
```